# 1
DFT (PBE) results for a geometry-optimized SrCuRe2Ge structure.

Formation energy, eV per atom: 1.481
Space group: P4/mmm, No. 123

Lattice parameters (Å, degrees): 4.6245 4.6245 5.5310 90.00 90.00 90.00
With the nearest neighbours (Å) after each atom.
Sites, in units of the cell vectors:
Sr 0.0000 0.0000 0.0000  2 Ge 2.77
Cu 0.5000 0.5000 0.0000  4 Sr 3.27, 8 Re 3.60
Re 0.0000 0.5000 0.5000  2 Ge 2.31
Re 0.5000 0.0000 0.5000  2 Ge 2.31
Ge 0.0000 0.0000 0.5000  4 Re 2.31



# 2
DFT (PBE) results for a geometry-optimized YCuReGe2 structure.

Formation energy, eV per atom: 0.373
Space group: P4/mmm, No. 123

Lattice parameters (Å, degrees): 4.7762 4.7762 5.4801 90.00 90.00 90.00
With the nearest neighbours (Å) after each atom.
Sites, in units of the cell vectors:
Y 0.0000 0.0000 0.0000  2 Re 2.74
Cu 0.5000 0.5000 0.0000  4 Y 3.38, 8 Ge 3.63
Re 0.0000 0.0000 0.5000  4 Ge 2.39
Ge 0.0000 0.5000 0.5000  2 Re 2.39
Ge 0.5000 0.0000 0.5000  2 Re 2.39



# 3
DFT (PBE) results for a geometry-optimized CuGe2Rh structure.

Offset from the most stable computed form, meV/atom: 59
Formation energy, eV per atom: -0.064
Space group: R-3m, No. 166

Lattice parameters (Å, degrees): 8.6675 8.6675 8.6675 19.86 19.86 19.86
With the nearest neighbours (Å) after each atom.
Sites, in units of the cell vectors:
Cu 0.0000 0.0000 0.0000  2 Ge 2.35
Ge 0.0923 0.0923 0.0923  1 Cu 2.35, 3 Rh 2.56
Ge 0.9077 0.9077 0.9077  1 Cu 2.35, 3 Rh 2.56
Rh 0.5000 0.5000 0.5000  6 Ge 2.56